Material: FeTcCl2
Method: DFT, PBE
State: relaxed

Values from the calculation:
Total DFT energy (no corrections) (eV per atom): -5.51
Excess energy over the best structure of this formula in the dataset (eV/atom): 0.203
Total magnetic moment (μB per cell): 3.949

a = 3.103 Å, b = 3.103 Å, c = 9.351 Å
α = 90.00°, β = 90.00°, γ = 120.37°
Atoms (fractional coordinates):
Fe 0.000 0.000 0.000
Tc 0.500 0.500 0.211
Cl 0.000 0.000 0.411
Cl 0.500 0.500 0.814

Material: TcPS
Method: DFT, PBE
State: relaxed

Values from the calculation:
Total DFT energy (no corrections) (eV per atom): -7.08
Excess energy over the best structure of this formula in the dataset (eV/atom): 0.086
Total magnetic moment (μB per cell): 0.000

a = 5.645 Å, b = 5.645 Å, c = 7.537 Å
α = 131.28°, β = 131.28°, γ = 31.85°
Atoms (fractional coordinates):
Tc 0.000 0.000 0.000
Tc 0.003 0.003 0.411
P 0.278 0.278 0.136
P 0.629 0.629 0.332
S 0.274 0.274 0.832
S 0.898 0.898 0.601

Material: CaCeInSn
Method: DFT, PBE
State: relaxed

Values from the calculation:
Total DFT energy (no corrections) (eV per atom): -4.17
Excess energy over the best structure of this formula in the dataset (eV/atom): 0.000
Total magnetic moment (μB per cell): 0.958
E_form (meV per atom): -500

a = 4.443 Å, b = 5.017 Å, c = 5.108 Å
α = 90.00°, β = 90.00°, γ = 90.00°
Atoms (fractional coordinates):
Ca 0.000 0.000 0.000
Ce 0.000 0.500 0.500
In 0.500 0.500 0.000
Sn 0.500 0.000 0.500

Material: Ti3AlOs2
Method: DFT, PBE
State: relaxed

Values from the calculation:
Total DFT energy (no corrections) (eV per atom): -8.89
Total magnetic moment (μB per cell): 0.000
E_form (meV per atom): -578

a = 3.133 Å, b = 3.133 Å, c = 9.243 Å
α = 90.00°, β = 90.00°, γ = 90.00°
Atoms (fractional coordinates):
Ti 0.000 0.000 0.000
Ti 0.000 0.000 0.325
Ti 0.000 0.000 0.675
Al 0.500 0.500 0.500
Os 0.500 0.500 0.167
Os 0.500 0.500 0.833

The highest total DFT energy (no corrections) belongs to which entry? CaCeInSn

What is the total magnetic moment in the first record? 3.949 μB per cell

Among the records above, which one has the lowest total DFT energy (no corrections)? Ti3AlOs2

What did the first record say?
Material: FeTcCl2
Method: DFT, PBE
State: relaxed

Values from the calculation:
Total DFT energy (no corrections) (eV per atom): -5.51
Excess energy over the best structure of this formula in the dataset (eV/atom): 0.203
Total magnetic moment (μB per cell): 3.949

a = 3.103 Å, b = 3.103 Å, c = 9.351 Å
α = 90.00°, β = 90.00°, γ = 120.37°
Atoms (fractional coordinates):
Fe 0.000 0.000 0.000
Tc 0.500 0.500 0.211
Cl 0.000 0.000 0.411
Cl 0.500 0.500 0.814